# VPdW2 PBE optimized geometry
# Electronic total energy   -9.91 eV per atom
# Calculated volume   15.3 Å³ per atom
# Offset from the most stable computed form   0.000 eV/atom
# Energy of formation from the pure elements   0.139 eV/atom
data_VPdW2
_symmetry_space_group_name_H-M 'P 4/m m m'
_symmetry_Int_Tables_number 123
_symmetry_space_group_name_Hall '-P 4 2'
_cell_length_a 3.8351
_cell_length_b 3.8351
_cell_length_c 4.1585
_cell_angle_alpha 90.00
_cell_angle_beta 90.00
_cell_angle_gamma 90.00
loop_
_atom_site_label
_atom_site_type_symbol
_atom_site_fract_x
_atom_site_fract_y
_atom_site_fract_z
V1 V 0.0000 0.0000 0.0000
Pd1 Pd 0.5000 0.5000 0.0000
W1 W 0.0000 0.5000 0.5000